LaTaAsBr2 | SCAN | PBEsol geometry

The structure in POSCAR format:
```
LaTaAsBr2
1.0
5.512 0.000 0.000
0.000 5.512 0.000
0.000 0.000 5.907
La Ta As Br
1 1 1 2
Direct
0.000 0.000 0.000
0.500 0.500 0.500
0.000 0.000 0.500
0.000 0.500 0.000
0.500 0.000 0.000
```

Output
For the volume, the calculation gives 35.891 A^3/atom. The total magnetization is 2.99 μB/f.u. For the uncorrected formation energy, the calculation gives 2.00 eV per formula unit. The space group is P4/mmm, No. 123. The value obtained for the final energy is -33.36 eV/atom.

***

LaTaAsBr2 | SCAN | PBEsol geometry

The structure in POSCAR format:
```
LaTaAsBr2
1.0
4.997 0.000 0.000
0.000 4.997 0.000
0.000 0.000 5.042
La Ta As Br
1 1 1 2
Direct
0.000 0.000 0.000
0.500 0.500 0.500
0.500 0.500 0.000
0.000 0.500 0.500
0.500 0.000 0.500
```

Output
For the volume, the calculation gives 25.186 A^3/atom. The total magnetization is 0.70 μB/f.u. For the uncorrected formation energy, the calculation gives -2.03 eV per formula unit. The space group is P4/mmm, No. 123. The value obtained for the final energy is -34.17 eV/atom.

***

LaYAsBr2 | SCAN | PBEsol geometry

The structure in POSCAR format:
```
LaYAsBr2
1.0
5.246 0.000 0.000
0.000 5.246 0.000
0.000 0.000 5.531
La Y As Br
1 1 1 2
Direct
0.000 0.000 0.000
0.500 0.500 0.500
0.500 0.500 0.000
0.000 0.500 0.500
0.500 0.000 0.500
```

Output
For the volume, the calculation gives 30.440 A^3/atom. The total magnetization is 0.58 μB/f.u. For the uncorrected formation energy, the calculation gives -5.94 eV per formula unit. The space group is P4/mmm, No. 123. The value obtained for the final energy is -27.20 eV/atom.

***

LaYAs2Br | SCAN | PBEsol geometry

The structure in POSCAR format:
```
LaYAs2Br
1.0
5.329 0.000 0.000
0.000 5.329 0.000
0.000 0.000 5.224
La Y As Br
1 1 2 1
Direct
0.000 0.000 0.000
0.500 0.500 0.500
0.000 0.500 0.500
0.500 0.000 0.500
0.500 0.500 0.000
```

Output
For the volume, the calculation gives 29.669 A^3/atom. The total magnetization is 0.01 μB/f.u. For the uncorrected formation energy, the calculation gives -4.86 eV per formula unit. The space group is P4/mmm, No. 123. The value obtained for the final energy is -27.13 eV/atom.

***

LaYAs2Br | SCAN | PBEsol geometry

The structure in POSCAR format:
```
LaYAs2Br
1.0
5.560 0.000 0.000
0.000 5.560 0.000
0.000 0.000 5.411
La Y As Br
1 1 2 1
Direct
0.000 0.000 0.000
0.500 0.500 0.500
0.000 0.500 0.000
0.500 0.000 0.000
0.000 0.000 0.500
```

Output
For the volume, the calculation gives 33.451 A^3/atom. The total magnetization is 0.00 μB/f.u. For the uncorrected formation energy, the calculation gives -2.08 eV per formula unit. The space group is P4/mmm, No. 123. The value obtained for the final energy is -26.57 eV/atom.

***

LaZrAsBr2 | SCAN | PBEsol geometry

The structure in POSCAR format:
```
LaZrAsBr2
1.0
5.518 0.000 0.000
0.000 5.518 0.000
0.000 0.000 5.854
La Zr As Br
1 1 1 2
Direct
0.000 0.000 0.000
0.500 0.500 0.500
0.000 0.000 0.500
0.000 0.500 0.000
0.500 0.000 0.000
```

Output
For the volume, the calculation gives 35.656 A^3/atom. The total magnetization is 2.05 μB/f.u. For the uncorrected formation energy, the calculation gives -1.69 eV per formula unit. The space group is P4/mmm, No. 123. The value obtained for the final energy is -26.92 eV/atom.

***

LiAsBr2 | SCAN | PBEsol geometry

The structure in POSCAR format:
```
LiAsBr2
1.0
4.500 -1.706 0.000
4.500 1.706 0.000
-1.258 0.000 6.092
Li As Br
1 1 2
Direct
0.000 0.000 0.000
0.500 0.500 0.500
0.320 0.320 0.773
0.680 0.680 0.227
```

Output
For the volume, the calculation gives 23.386 A^3/atom. The total magnetization is 0.49 μB/f.u. For the uncorrected formation energy, the calculation gives -2.10 eV per formula unit. The space group is C2/m, No. 12. The value obtained for the final energy is -15.90 eV/atom.

***

LiAs2Br | SCAN | PBEsol geometry

The structure in POSCAR format:
```
LiAs2Br
1.0
3.486 0.000 0.000
0.000 3.486 0.000
0.000 0.000 7.511
Li As Br
1 2 1
Direct
0.000 0.000 0.000
0.000 0.000 0.625
0.500 0.500 0.503
0.500 0.500 0.059
```

Output
For the volume, the calculation gives 22.823 A^3/atom. The total magnetization is 0.00 μB/f.u. For the uncorrected formation energy, the calculation gives -2.08 eV per formula unit. The space group is P4mm, No. 99. The value obtained for the final energy is -16.08 eV/atom.

***

Li2AsBr | SCAN | PBEsol geometry

The structure in POSCAR format:
```
Li2AsBr
1.0
3.100 0.000 0.000
0.000 4.337 0.000
0.000 0.000 5.667
Li As Br
2 1 1
Direct
0.000 0.000 0.000
0.000 0.500 0.500
0.500 0.000 0.500
0.500 0.500 0.000
```

Output
For the volume, the calculation gives 19.047 A^3/atom. The total magnetization is 0.33 μB/f.u. For the uncorrected formation energy, the calculation gives -2.54 eV per formula unit. The space group is Pmmm, No. 47. The value obtained for the final energy is -11.74 eV/atom.

***

Li2AsBr | SCAN | PBEsol geometry

The structure in POSCAR format:
```
Li2AsBr
1.0
0.000 3.429 3.429
3.429 0.000 3.429
3.429 3.429 0.000
Li As Br
2 1 1
Direct
0.000 0.000 0.000
0.250 0.250 0.250
0.750 0.750 0.750
0.500 0.500 0.500
```

Output
For the volume, the calculation gives 20.151 A^3/atom. The total magnetization is 1.15 μB/f.u. For the uncorrected formation energy, the calculation gives -0.18 eV per formula unit. The space group is F-43m, No. 216. The value obtained for the final energy is -11.15 eV/atom.

***

Li2AsBr | SCAN | PBEsol geometry

The structure in POSCAR format:
```
Li2AsBr
1.0
-2.182 2.182 3.824
2.182 -2.182 3.824
2.182 2.182 -3.824
Li As Br
2 1 1
Direct
0.250 0.750 0.500
0.750 0.250 0.500
0.000 0.000 0.000
0.500 0.500 0.000
```

Output
For the volume, the calculation gives 18.214 A^3/atom. The total magnetization is 0.00 μB/f.u. For the uncorrected formation energy, the calculation gives -1.94 eV per formula unit. The space group is I4/mmm, No. 139. The value obtained for the final energy is -11.59 eV/atom.

***

LiAsBr2 | SCAN | PBEsol geometry

The structure in POSCAR format:
```
LiAsBr2
1.0
1.748 -3.100 0.000
1.748 3.100 0.000
0.000 0.000 8.193
Li As Br
1 1 2
Direct
0.000 0.000 0.000
0.000 0.000 0.500
0.500 0.500 0.221
0.500 0.500 0.779
```

Output
For the volume, the calculation gives 22.198 A^3/atom. The total magnetization is 0.00 μB/f.u. For the uncorrected formation energy, the calculation gives -1.47 eV per formula unit. The space group is Cmmm, No. 65. The value obtained for the final energy is -15.74 eV/atom.

***

LiAs2Br | SCAN | PBEsol geometry

The structure in POSCAR format:
```
LiAs2Br
1.0
3.653 0.000 0.000
0.000 6.099 0.000
-0.139 0.000 3.961
Li As Br
1 2 1
Direct
0.000 0.000 0.000
0.226 0.500 0.801
0.774 0.500 0.199
0.500 0.000 0.500
```

Output
For the volume, the calculation gives 22.065 A^3/atom. The total magnetization is 0.00 μB/f.u. For the uncorrected formation energy, the calculation gives -2.10 eV per formula unit. The space group is P2/m, No. 10. The value obtained for the final energy is -16.08 eV/atom.

***

LiAs2Br | SCAN | PBEsol geometry

The structure in POSCAR format:
```
LiAs2Br
1.0
5.118 0.000 0.000
0.000 5.118 0.000
0.000 0.000 2.965
Li As Br
1 2 1
Direct
0.000 0.000 0.000
0.000 0.500 0.500
0.500 0.000 0.500
0.500 0.500 0.000
```

Output
For the volume, the calculation gives 19.414 A^3/atom. The total magnetization is 0.00 μB/f.u. For the uncorrected formation energy, the calculation gives 1.05 eV per formula unit. The space group is P4/mmm, No. 123. The value obtained for the final energy is -15.30 eV/atom.

***

LiAsBr2 | SCAN | PBEsol geometry

The structure in POSCAR format:
```
LiAsBr2
1.0
3.328 0.000 0.000
0.000 3.328 0.000
0.000 0.000 7.416
Li As Br
1 1 2
Direct
0.000 0.000 0.000
0.000 0.000 0.500
0.500 0.500 0.219
0.500 0.500 0.781
```

Output
For the volume, the calculation gives 20.538 A^3/atom. The total magnetization is 0.00 μB/f.u. For the uncorrected formation energy, the calculation gives -0.87 eV per formula unit. The space group is P4/mmm, No. 123. The value obtained for the final energy is -15.59 eV/atom.

***

LiMgAs2Br | SCAN | PBEsol geometry

The structure in POSCAR format:
```
LiMgAs2Br
1.0
4.922 0.000 0.000
0.000 4.922 0.000
0.000 0.000 5.518
Li Mg As Br
1 1 2 1
Direct
0.000 0.000 0.000
0.500 0.500 0.500
0.000 0.500 0.500
0.500 0.000 0.500
0.500 0.500 0.000
```

Output
For the volume, the calculation gives 26.742 A^3/atom. The total magnetization is 1.64 μB/f.u. For the uncorrected formation energy, the calculation gives -0.04 eV per formula unit. The space group is P4/mmm, No. 123. The value obtained for the final energy is -13.45 eV/atom.

***

LiAsPtBr2 | SCAN | PBEsol geometry

The structure in POSCAR format:
```
LiAsPtBr2
1.0
4.554 0.000 0.000
0.000 4.554 0.000
0.000 0.000 4.758
Li As Pt Br
1 1 1 2
Direct
0.000 0.000 0.000
0.000 0.000 0.500
0.500 0.500 0.500
0.000 0.500 0.000
0.500 0.000 0.000
```

Output
For the volume, the calculation gives 19.736 A^3/atom. The total magnetization is 0.00 μB/f.u. For the uncorrected formation energy, the calculation gives 3.17 eV per formula unit. The space group is P4/mmm, No. 123. The value obtained for the final energy is -25.70 eV/atom.

***

RbLiAsBr2 | SCAN | PBEsol geometry

The structure in POSCAR format:
```
RbLiAsBr2
1.0
5.304 0.000 0.000
0.000 5.304 0.000
0.000 0.000 5.158
Rb Li As Br
1 1 1 2
Direct
0.000 0.000 0.000
0.500 0.500 0.500
0.500 0.500 0.000
0.000 0.500 0.500
0.500 0.000 0.500
```

Output
For the volume, the calculation gives 29.020 A^3/atom. The total magnetization is 3.00 μB/f.u. For the uncorrected formation energy, the calculation gives -3.97 eV per formula unit. The space group is P4/mmm, No. 123. The value obtained for the final energy is -17.24 eV/atom.

***

LiSbAsBr2 | SCAN | PBEsol geometry

The structure in POSCAR format:
```
LiSbAsBr2
1.0
4.643 0.000 0.000
0.000 4.643 0.000
0.000 0.000 5.204
Li Sb As Br
1 1 1 2
Direct
0.000 0.000 0.000
0.500 0.500 0.500
0.000 0.000 0.500
0.000 0.500 0.000
0.500 0.000 0.000
```

Output
For the volume, the calculation gives 22.435 A^3/atom. The total magnetization is 0.67 μB/f.u. For the uncorrected formation energy, the calculation gives -0.04 eV per formula unit. The space group is P4/mmm, No. 123. The value obtained for the final energy is -19.76 eV/atom.

***

LiScAsBr2 | SCAN | PBEsol geometry

The structure in POSCAR format:
```
LiScAsBr2
1.0
5.242 0.000 0.000
0.000 5.242 0.000
0.000 0.000 5.210
Li Sc As Br
1 1 1 2
Direct
0.000 0.000 0.000
0.500 0.500 0.500
0.500 0.500 0.000
0.000 0.500 0.500
0.500 0.000 0.500
```

Output
For the volume, the calculation gives 28.641 A^3/atom. The total magnetization is 1.00 μB/f.u. For the uncorrected formation energy, the calculation gives -4.65 eV per formula unit. The space group is P4/mmm, No. 123. The value obtained for the final energy is -16.08 eV/atom.